Entry 1:
First-principles (GGA-PBE) data for a relaxed structure of Mn2CrH, as listed in Alexandria.

Structure (POSCAR):
```
Mn2CrH
1.0
4.1727 0.0000 0.0000
0.0000 2.7655 0.0000
-1.3696 0.0000 6.2217
Mn Cr H
4 2 2
Cartesian
-0.0147 0.0000 1.9749
0.7313 1.3828 4.2468
2.0717 1.3828 1.9749
2.8177 0.0000 4.2468
0.0000 1.3828 0.0000
2.0863 0.0000 0.0000
-0.6848 1.3828 3.1108
1.4015 0.0000 3.1108
```

Calculated values
uncorrected energy	-62.2	eV for the cell shown
Fermi-level density of states	6.5	states/eV/cell
energy above the most stable polymorph in this dataset	0.0	meV/atom
ρ	7.53	g/cm³

Entry 2:
First-principles (GGA-PBE) data for a relaxed structure of K2InSn2Cl7, as listed in Alexandria.

Structure (POSCAR):
```
K2InSn2Cl7
1.0
-2.8406 12.6273 3.1178
2.8406 -12.6273 3.1178
2.8406 12.6273 -3.1178
K In Sn Cl
2 1 2 7
Cartesian
0.0000 5.6733 0.0000
0.0000 19.5813 0.0000
0.0000 12.6273 2.0441
2.8406 9.8654 0.0719
0.0000 2.7619 3.1896
2.8406 10.0118 -2.4611
0.0000 2.6155 0.6566
2.8406 6.9235 -0.0157
0.0000 10.0261 0.3226
0.0000 0.0000 3.6514
0.0000 15.2285 0.3226
0.0000 5.7038 3.1020
```

Calculated values
uncorrected energy	-41.2	eV for the cell shown
Fermi-level density of states	0.0	states/eV/cell
formation energy without anion corrections	-1477.7	kJ/mol of formula units
ρ	2.52	g/cm³

- Which value of uncorrected energy does entry 1 give?
  -62.2 eV for the cell shown

- uncorrected energy of number 2 (K2InSn2Cl7)?
  -41.2 eV for the cell shown